# 1
Ni7Ge2Sb2Pt | GGA-PBE | optimized geometry Values from VASP.

Cell and atoms, written as Quantum ESPRESSO input:
```
&SYSTEM
  ibrav = 0, nat = 12, ntyp = 4
/
ATOMIC_SPECIES
Ni 58.69 Ni.upf
Ge 72.64 Ge.upf
Sb 121.76 Sb.upf
Pt 195.08 Pt.upf
CELL_PARAMETERS angstrom
-0.9019 -3.4046 -0.6182
3.2347 -0.5413 -1.4251
5.7958 -4.8142 12.6289
ATOMIC_POSITIONS crystal
Ni 0.5000 0.5000 0.0000
Ni 0.3825 0.3825 0.4217
Ni 0.6175 0.6175 0.5783
Ni 0.9658 0.4654 0.1296
Ni 0.4654 0.9658 0.1296
Ni 0.5346 0.0342 0.8704
Ni 0.0342 0.5346 0.8704
Ge 0.8657 0.8657 0.4249
Ge 0.1343 0.1343 0.5751
Sb 0.5653 0.5653 0.7496
Sb 0.4347 0.4347 0.2504
Pt 0.0000 0.0000 0.0000
```

***

# 2
NiGe2PtSe6 | GGA-PBE | optimized geometry Values from VASP.

Cell and atoms, written as Quantum ESPRESSO input:
```
&SYSTEM
  ibrav = 0, nat = 20, ntyp = 4
/
ATOMIC_SPECIES
Ni 58.69 Ni.upf
Ge 72.64 Ge.upf
Pt 195.08 Pt.upf
Se 78.96 Se.upf
CELL_PARAMETERS angstrom
6.4380 -0.5813 -0.6033
1.2796 8.4257 0.6375
1.2796 0.3248 8.4435
ATOMIC_POSITIONS crystal
Ni 0.2500 0.9197 0.0803
Ni 0.7500 0.0803 0.9197
Ge 0.2378 0.7864 0.5919
Ge 0.2622 0.4081 0.2136
Ge 0.7622 0.2136 0.4081
Ge 0.7378 0.5919 0.7864
Pt 0.2500 0.2430 0.7570
Pt 0.7500 0.7570 0.2430
Se 0.0928 0.9757 0.8288
Se 0.4072 0.1712 0.0243
Se 0.9072 0.0243 0.1712
Se 0.5928 0.8288 0.9757
Se 0.4166 0.8955 0.3291
Se 0.0834 0.6709 0.1045
Se 0.5834 0.1045 0.6709
Se 0.9166 0.3291 0.8955
Se 0.8782 0.7364 0.5263
Se 0.6218 0.4737 0.2636
Se 0.1218 0.2636 0.4737
Se 0.3782 0.5263 0.7364
```

***

# 3
Si2Ni5GePt2 | GGA-PBE | optimized geometry Values from VASP.

Cell and atoms, written as Quantum ESPRESSO input:
```
&SYSTEM
  ibrav = 0, nat = 20, ntyp = 4
/
ATOMIC_SPECIES
Si 28.09 Si.upf
Ni 58.69 Ni.upf
Ge 72.64 Ge.upf
Pt 195.08 Pt.upf
CELL_PARAMETERS angstrom
-2.1509 -1.4049 2.4765
1.4416 -7.6587 -3.0927
6.5330 -0.8637 5.1840
ATOMIC_POSITIONS crystal
Si 0.0000 0.1273 0.6273
Si 0.0000 0.8727 0.3727
Si 0.0000 0.6273 0.8727
Si 0.0000 0.3727 0.1273
Ni 0.5000 0.1982 0.0771
Ni 0.5000 0.8018 0.9229
Ni 0.5000 0.0771 0.8018
Ni 0.5000 0.6982 0.4229
Ni 0.5000 0.9229 0.1982
Ni 0.5000 0.3018 0.5771
Ni 0.5000 0.5771 0.6982
Ni 0.5000 0.4229 0.3018
Ni 0.5000 0.5000 0.0000
Ni 0.5000 0.0000 0.5000
Ge 0.0000 0.0000 0.0000
Ge 0.0000 0.5000 0.5000
Pt 0.0000 0.6680 0.1680
Pt 0.0000 0.3320 0.8320
Pt 0.0000 0.1680 0.3320
Pt 0.0000 0.8320 0.6680
```

***

Number 1: mass density 8.82 g/cm3, formation energy without anion corrections -49 meV/atom. Number 2: mass density 6.18 g/cm3, formation energy without anion corrections -186 meV/atom. Number 3: mass density 10.76 g/cm3, formation energy without anion corrections -416 meV/atom.